1.
! CeHo5Ga6 | Alexandria via LeMat-Bulk | GGA-PBE | relaxed; values from VASP
! Size of the total moment ... 0.0726 μB per atom
! N(E_F) ... 0.7591 states/eV per atom
! Formation energy ... -0.56 eV per atom
! DFT total energy ... -4.474 eV per atom
&SYSTEM
  ibrav = 0, nat = 12, ntyp = 3
/
ATOMIC_SPECIES
Ce 140.12 Ce.upf
Ho 164.93 Ho.upf
Ga 69.72 Ga.upf
ATOMIC_POSITIONS crystal
Ce 0.000 0.000 0.000
Ho 0.000 0.000 0.500
Ho 0.332 0.668 0.000
Ho 0.337 0.663 0.500
Ho 0.663 0.337 0.500
Ho 0.668 0.332 0.000
Ga 0.170 0.830 0.256
Ga 0.170 0.830 0.744
Ga 0.500 0.500 0.254
Ga 0.500 0.500 0.746
Ga 0.830 0.170 0.256
Ga 0.830 0.170 0.744
CELL_PARAMETERS angstrom
2.521 -7.587 0.000
2.521 7.587 0.000
0.000 0.000 7.138

2.
! CeHo3Ga3 | Alexandria via LeMat-Bulk | GGA-PBE | relaxed; values from VASP
! Size of the total moment ... 0.1606 μB per atom
! N(E_F) ... 1.5601 states/eV per atom
! Formation energy ... -0.39 eV per atom
! DFT total energy ... -4.492 eV per atom
&SYSTEM
  ibrav = 0, nat = 14, ntyp = 3
/
ATOMIC_SPECIES
Ce 140.12 Ce.upf
Ho 164.93 Ho.upf
Ga 69.72 Ga.upf
ATOMIC_POSITIONS crystal
Ce 0.333 0.667 0.250
Ce 0.667 0.333 0.750
Ho 0.013 0.760 0.750
Ho 0.240 0.253 0.750
Ho 0.253 0.013 0.250
Ho 0.747 0.987 0.750
Ho 0.760 0.747 0.250
Ho 0.987 0.240 0.250
Ga 0.063 0.451 0.750
Ga 0.388 0.937 0.750
Ga 0.451 0.388 0.250
Ga 0.549 0.612 0.750
Ga 0.612 0.063 0.250
Ga 0.937 0.549 0.250
CELL_PARAMETERS angstrom
9.121 0.000 0.000
-4.560 7.899 0.000
0.000 0.000 4.841

3.
! CeHoGa4 | Alexandria via LeMat-Bulk | GGA-PBE | relaxed; values from VASP
! Size of the total moment ... 0.1434 μB per atom
! N(E_F) ... 1.2953 states/eV per atom
! Formation energy ... -0.51 eV per atom
! DFT total energy ... -4.278 eV per atom
&SYSTEM
  ibrav = 0, nat = 6, ntyp = 3
/
ATOMIC_SPECIES
Ce 140.12 Ce.upf
Ho 164.93 Ho.upf
Ga 69.72 Ga.upf
ATOMIC_POSITIONS crystal
Ce 0.000 0.000 0.000
Ho 0.750 0.750 0.750
Ga 0.375 0.375 0.375
Ga 0.375 0.375 0.876
Ga 0.375 0.876 0.375
Ga 0.876 0.375 0.375
CELL_PARAMETERS angstrom
0.000 3.924 3.924
3.924 0.000 3.924
3.924 3.924 0.000